# Co3CuP4O16, optimized geometry, DFT PBE+U
# Total moment: 10.19 Bohr magnetons per cell
# Final energy: -6.580 eV per atom
# Density of states at the Fermi level: 4.31 states/eV per cell
data_Co3CuP4O16
_symmetry_space_group_name_H-M 'P 1'
_symmetry_Int_Tables_number 1
_symmetry_space_group_name_Hall 'P 1'
_cell_length_a 4.945
_cell_length_b 5.912
_cell_length_c 10.036
_cell_angle_alpha 90.00
_cell_angle_beta 94.23
_cell_angle_gamma 90.00
loop_
_atom_site_label
_atom_site_fract_x
_atom_site_fract_y
_atom_site_fract_z
Co1 0.000 0.000 0.000
Co2 0.122 0.500 0.583
Co3 0.442 0.500 0.087
Cu1 0.706 0.000 0.484
P1 0.162 0.000 0.691
P2 0.503 0.000 0.186
P3 0.624 0.500 0.395
P4 0.958 0.500 0.889
O1 0.211 0.000 0.844
O2 0.272 0.500 0.917
O3 0.288 0.213 0.629
O4 0.288 0.787 0.629
O5 0.325 0.500 0.417
O6 0.333 0.198 0.114
O7 0.333 0.802 0.114
O8 0.457 0.000 0.336
O9 0.673 0.500 0.244
O10 0.798 0.305 0.467
O11 0.798 0.695 0.467
O12 0.803 0.000 0.164
O13 0.832 0.290 0.957
O14 0.832 0.710 0.957
O15 0.849 0.000 0.658
O16 0.896 0.500 0.737